Record 1
Computed, not measured: an optimized crystal structure of Pm2NpSb at the PBE level of DFT.

Cell lengths 3.4006, 3.4006, 12.1389 Å; angles 81.95, 81.95, 60.00 degrees
Last column: magnetic moment on the atom in μB.
Fractional coordinates of all 4 atoms:
Np 0.0000 0.0000 0.0000  4.40
Sb 0.5000 0.5000 0.5000  -0.01
Pm 0.0923 0.0923 0.7230  -0.01
Pm 0.9077 0.9077 0.2770  -0.01

Values from the calculation:
- relative energy among the computed polymorphs (meV per atom) = 447.3
- raw formation energy (eV per formula unit) = 1.00
- electronic total energy (Ry/atom) = -0.4698

***

Record 2
Computed, not measured: an optimized crystal structure of SrTlRh2 at the PBE level of DFT.

Cell lengths 4.3030, 4.1911, 5.4947 Å; angles 67.54, 90.00, 90.00 degrees
Fractional coordinates of all 4 atoms:
Rh 0.0000 0.1913 0.9945
Rh 0.5000 0.0630 0.2483
Sr 0.0000 0.4757 0.4226
Tl 0.5000 0.7701 0.8346

Values from the calculation:
- relative energy among the computed polymorphs (meV per atom) = 117.0
- energy of formation (eV per atom) = -0.05
- electronic total energy (Ry/atom) = -0.3479

***

Record 3
Computed, not measured: an optimized crystal structure of Li2PrAg10 at the PBE level of DFT.

Cell lengths 5.3920, 7.3112, 7.2211 Å; angles 82.09, 68.08, 68.36 degrees
Fractional coordinates of all 13 atoms:
Li 0.0000 0.5000 0.0000
Li 0.5000 0.5000 0.0000
Pr 0.0000 0.0000 0.0000
Ag 0.3504 0.6437 0.6556
Ag 0.6496 0.3563 0.3444
Ag 0.9940 0.3563 0.6556
Ag 0.0060 0.6437 0.3444
Ag 0.0000 0.0000 0.5000
Ag 0.5000 0.0000 0.5000
Ag 0.2807 0.2286 0.2101
Ag 0.7193 0.7714 0.7899
Ag 0.5092 0.7714 0.2101
Ag 0.4908 0.2286 0.7899

Values from the calculation:
- energy of formation (eV per atom) = -0.11
- electronic total energy (Ry/atom) = -0.2179